(1)
LaIn2Se: PBEsol geometry, meta-GGA SCAN.

The structure in extended XYZ format:
```
4
Lattice="-2.2953 0.7186 -3.3186 -3.1800 -1.8593 1.7969 -1.9663 5.9153 2.6409" Properties=species:S:1:pos:R:3 pbc="T T T"
In -0.1113 0.3348 0.1495
In -3.1810 0.7633 -0.1655
La -1.1041 3.3214 1.4829
Se -4.0284 3.3127 0.9727
```

Calculated values
E_form (uncorrected) in eV/atom: -0.91
Symmetry: P4mm (99)

***

(2)
SiGeB2Rh: PBEsol geometry, meta-GGA SCAN.

The structure in extended XYZ format:
```
5
Lattice="3.8606 0.0000 0.0000 0.0000 3.8606 0.0000 0.0000 0.0000 4.7410" Properties=species:S:1:pos:R:3 pbc="T T T"
Ge 1.9303 1.9303 2.3705
B 0.0000 1.9303 0.0000
B 1.9303 0.0000 0.0000
Rh 0.0000 0.0000 2.3705
Si 0.0000 0.0000 0.0000
```

Calculated values
E_form (uncorrected) in eV/atom: 1.10
Symmetry: P4/mmm (123)

***

Per-record spin magnetization, μB/atom: 0.000 0.000